Entry 1:
PaMnAl3 | PBE | relaxed

Its theoretical density is 6.92 g cm⁻³. For the energy of formation from the pure elements, the calculation gives -227 meV/atom. The volume is 176 Å³ per cell. For the density of states at the Fermi level, the calculation gives 0.8160 states/eV/atom.

The space group is P-1 (No. 2) and the conventional cell measures 5.648, 5.830 and 5.909 Å, with angles of 113.66, 97.72 and 90.97 degrees. The inequivalent atoms are Pa at (0.015, 0.319, 0.189), Mn at (0.213, 0.839, 0.198), Al at (0.184, 0.125, 0.661), Al at (0.470, 0.726, 0.517), Al at (0.500, 0.000, 0.000) and Al at (0.500, 0.500, 0.000).

=====

Entry 2:
Mg7CdHg2Bi2 | PBE | relaxed

Its theoretical density is 6.18 g cm⁻³. For the energy of formation from the pure elements, the calculation gives -48 meV/atom. The volume is 592 Å³ per cell. For the density of states at the Fermi level, the calculation gives 0.4056 states/eV/atom.

The space group is C2/m (No. 12) and the conventional cell measures 6.261, 6.248 and 15.366 Å, with angles of 90.00, 100.21 and 90.00 degrees. The inequivalent atoms are Mg at (0.000, 0.000, 0.000), Mg at (0.183, 0.249, 0.854), Mg at (0.224, 0.000, 0.452), Cd at (0.000, 0.500, 0.000), Hg at (0.126, 0.000, 0.268) and Bi at (0.166, 0.500, 0.349).

=====

Entry 3:
ScAgSe2Br | PBE | relaxed

Its theoretical density is 4.58 g cm⁻³. Its uncorrected formation energy is -0.52 eV per atom. The volume is 142 Å³ per cell. For the density of states at the Fermi level, the calculation gives 1.1283 states/eV/atom.

The space group is P4/mmm (No. 123) and the conventional cell measures 5.158, 5.158 and 5.326 Å, with angles of 90.00, 90.00 and 90.00 degrees. The inequivalent atoms are Sc at (0.000, 0.000, 0.000), Ag at (0.500, 0.500, 0.500), Se at (0.000, 0.500, 0.000) and Br at (0.000, 0.000, 0.500).

=====

Entry 4:
CoReSi2 | PBE | relaxed

Its theoretical density is 9.96 g cm⁻³. Its uncorrected formation energy is -0.17 eV per atom. The volume is 101 Å³ per cell. For the density of states at the Fermi level, the calculation gives 0.5887 states/eV/atom.

The space group is C2/m (No. 12) and the conventional cell measures 7.928, 2.645 and 4.914 Å, with angles of 90.00, 102.70 and 90.00 degrees. The inequivalent atoms are Co at (0.000, 0.000, 0.000), Re at (0.000, 0.500, 0.500) and Si at (0.240, 0.500, 0.228).

=====

Entry 5:
Ce2GeRu2 | PBE | relaxed

Its theoretical density is 8.98 g cm⁻³. For the energy of formation from the pure elements, the calculation gives -569 meV/atom. The volume is 410 Å³ per cell. For the density of states at the Fermi level, the calculation gives 1.1615 states/eV/atom.

The space group is C2/c (No. 15) and the conventional cell measures 10.278, 5.121 and 8.158 Å, with angles of 90.00, 107.13 and 90.00 degrees. The inequivalent atoms are Ce at (0.149, 0.151, 0.138), Ge at (0.000, 0.371, 0.750) and Ru at (0.133, 0.365, 0.530).

=====

Entry 6:
Sm2NpUP4 | PBE | relaxed

Its theoretical density is 8.12 g cm⁻³. For the energy of formation from the pure elements, the calculation gives -1247 meV/atom. The volume is 184 Å³ per cell. For the density of states at the Fermi level, the calculation gives 1.4335 states/eV/atom.

The space group is P2/m (No. 10) and the conventional cell measures 6.930, 4.006 and 7.023 Å, with angles of 90.00, 109.24 and 90.00 degrees. The inequivalent atoms are Sm at (0.000, 0.000, 0.000), Sm at (0.500, 0.500, 0.000), Np at (0.000, 0.500, 0.500), U at (0.500, 0.000, 0.500), P at (0.247, 0.000, 0.737) and P at (0.256, 0.500, 0.263).

=====

Entry 7:
Sr3Hg7Bi | PBE | relaxed

Its theoretical density is 9.29 g cm⁻³. For the energy of formation from the pure elements, the calculation gives -386 meV/atom. The volume is 1341 Å³ per cell. For the density of states at the Fermi level, the calculation gives 0.4285 states/eV/atom.

The space group is Cmcm (No. 63) and the conventional cell measures 4.848, 24.181 and 11.442 Å, with angles of 90.00, 90.00 and 90.00 degrees. The inequivalent atoms are Sr at (0.000, 0.082, 0.056), Sr at (0.000, 0.228, 0.750), Hg at (0.000, 0.217, 0.072), Hg at (0.000, 0.348, 0.102), Hg at (0.000, 0.369, 0.750), Hg at (0.000, 0.491, 0.125) and Bi at (0.000, 0.076, 0.750).

=====

Entry 8:
La8Ge3Te4Br | PBE | relaxed

Its theoretical density is 6.14 g cm⁻³. Its uncorrected formation energy is -1.37 eV per atom. The volume is 1557 Å³ per cell. For the density of states at the Fermi level, the calculation gives 0.3266 states/eV/atom.

The space group is R-3m (No. 166, hexagonal axes) and the conventional cell measures 8.9714, 8.9714 and 22.3320 Å, with angles of 90.00, 90.00 and 120.00 degrees. The inequivalent atoms are La at (0.0000, 0.0000, 0.2420), La at (0.0128, 0.5064, 0.7567), Ge at (0.0000, 0.5000, 0.5000), Te at (0.0000, 0.0000, 0.0000), Te at (0.0000, 0.5000, 0.0000) and Br at (0.0000, 0.0000, 0.5000).